TeRuO3: optimized geometry, PBE.

a b c (Å): 4.111 4.111 4.111
angles (deg): 90.00 90.00 90.00
Element x y z (fractional)
Te  0.000  0.000  0.000
Ru  0.500  0.500  0.500
O  0.000  0.000  0.500
O  0.000  0.500  0.000
O  0.500  0.000  0.000

Summary:
SG: No. 221
Total magnetic moment, μB per atom: 0.692
Formation energy without anion corrections, meV per atom: 162
Calculated density, g/cm³: 6.6
VASP energy, eV for the cell shown: -26.48